Entry 1:
Density functional theory data (PBE-GGA) for a relaxed structure of Cs2NaAs2Pt.

Summary:
* density of states at the Fermi level: 3.92 states/eV/f.u.
* ρ: 5.4 g/cm3
* formation energy: -2.23 eV/f.u.

Structure (extended XYZ):
```
12
Lattice="-6.2820 0.6210 -2.4039 -2.1180 -5.0698 4.2251 2.5012 7.8434 4.9803" Properties=species:S:1:pos:R:3 pbc="T T T"
Cs -1.9649 2.0477 1.4721
Pt -4.7295 -3.4918 1.9668
As -1.3050 2.0849 7.5327
Cs 0.6325 3.5352 4.5591
Cs -6.5313 -0.1405 2.2424
Na -1.5885 -3.8023 3.1688
Cs -3.9339 1.3470 5.3294
As -3.2805 -1.4597 2.2891
Na -0.5295 -1.2674 1.0563
As -4.5938 1.3097 -0.7312
Pt -3.6705 -0.9569 -0.1457
As -2.6183 4.8544 4.5124
```

Entry 2:
Density functional theory data (PBE-GGA) for a relaxed structure of CsNa2AsRh.

Summary:
* density of states at the Fermi level: 2.26 states/eV/f.u.
* ρ: 3.9 g/cm3
* energy above the most stable polymorph in this dataset: 100 meV per atom
* formation energy: -0.44 eV/f.u.

Structure (extended XYZ):
```
5
Lattice="-0.8430 2.3895 5.0832 3.0790 -3.0183 1.9294 4.2241 3.6577 -1.0189" Properties=species:S:1:pos:R:3 pbc="T T T"
Na 2.1120 1.8288 -0.5094
Rh 1.5395 -1.5091 0.9647
As 0.0000 0.0000 0.0000
Na -0.4215 1.1947 2.5416
Cs 3.2300 1.5145 2.9969
```

Entry 3:
Density functional theory data (PBE-GGA) for a relaxed structure of CsNa2AsRh.

Summary:
* density of states at the Fermi level: 2.43 states/eV/f.u.
* ρ: 4.0 g/cm3
* energy above the most stable polymorph in this dataset: 0 meV per atom
* formation energy: -0.94 eV/f.u.

Structure (extended XYZ):
```
5
Lattice="-5.6006 0.2013 -0.7491 0.1670 -5.0194 -2.5974 -0.6273 -2.1490 4.1126" Properties=species:S:1:pos:R:3 pbc="T T T"
Cs -3.0305 -3.4836 0.3830
Na -2.8003 0.1006 -0.3746
Rh 0.0000 0.0000 0.0000
As -0.3137 -1.0745 2.0563
Na 0.0835 -2.5097 -1.2987
```

Entry 4:
Density functional theory data (PBE-GGA) for a relaxed structure of CsNaAsRh.

Summary:
* density of states at the Fermi level: 2.67 states/eV/f.u.
* ρ: 4.2 g/cm3
* formation energy: -1.33 eV/f.u.

Structure (extended XYZ):
```
8
Lattice="-1.2969 3.9974 0.3514 -1.2004 -0.7389 3.9746 13.5961 3.9850 4.8473" Properties=species:S:1:pos:R:3 pbc="T T T"
Rh -1.2728 2.8133 1.2572
As 10.5447 6.0835 7.6717
Rh -1.2246 0.4451 3.0688
Cs 1.2112 3.3478 4.3441
As 0.5541 1.1600 1.5016
Cs 9.8876 3.8957 4.8292
Na 5.5253 4.8058 3.6809
Na 5.5735 2.4377 5.4924
```

Entry 5:
Density functional theory data (PBE-GGA) for a relaxed structure of Cs3NaAs2S6.

Summary:
* formation energy without anion corrections: -8.202 eV/f.u.
* density of states at the Fermi level: 5.67 states/eV/f.u.
* ρ: 2.8 g/cm3

Structure (extended XYZ):
```
12
Lattice="-3.5141 2.5824 -6.1455 5.7876 -4.7753 -0.6960 -5.9364 -7.2459 0.3497" Properties=species:S:1:pos:R:3 pbc="T T T"
S -4.3789 -5.0161 -1.9971
As 1.3037 -4.0112 -2.4310
S 2.4098 -5.6675 -1.5326
Na -2.9682 -3.6229 0.1749
Cs -1.1343 -6.9871 -2.2874
S 0.7160 -4.4227 -4.4947
S -6.0726 -3.7713 -4.9592
S -0.3799 -3.3658 -1.1971
As -4.9666 -5.4276 -4.0608
S -3.2830 -6.0730 -5.2947
Cs 0.0000 0.0000 0.0000
Cs -2.5285 -2.4517 -4.2044
```

Entry 6:
Density functional theory data (PBE-GGA) for a relaxed structure of CsNa2AsS4.

Summary:
* formation energy without anion corrections: -6.467 eV/f.u.
* density of states at the Fermi level: 0.00 states/eV/f.u.
* ρ: 2.7 g/cm3

Structure (extended XYZ):
```
8
Lattice="6.7567 0.7465 0.0000 -1.6777 6.5875 0.0000 -2.5395 -3.6670 5.1297" Properties=species:S:1:pos:R:3 pbc="T T T"
S 5.9805 2.8026 0.0000
S -0.7108 -1.0264 1.8087
Na -0.8388 3.2938 2.5649
Na 3.3783 0.3732 2.5649
S 1.8287 2.6406 3.3211
As 0.0000 0.0000 0.0000
S 0.5200 6.5841 0.0000
Cs 2.5395 3.6670 0.0000
```

Entry 7:
Density functional theory data (PBE-GGA) for a relaxed structure of CsNaAsS3.

Summary:
* formation energy without anion corrections: -4.270 eV/f.u.
* ρ: 2.6 g/cm3

Structure (extended XYZ):
```
12
Lattice="-7.4412 -1.9371 -1.1129 -2.2544 -7.4147 -0.5504 -2.0027 -1.0786 7.9635" Properties=species:S:1:pos:R:3 pbc="T T T"
S -4.1878 -6.0437 5.9791
S -6.8612 -3.2205 5.6892
Cs -3.5570 -3.2837 0.8227
S -2.5496 -1.8769 5.2322
S -9.1487 -8.5534 1.0680
Na -7.3366 -3.6443 2.9888
S -4.8371 -7.2098 0.6110
S -7.5104 -4.3866 0.3211
As -0.4699 -0.3257 1.1611
As -11.2284 -10.1047 5.1390
Cs -8.1413 -7.1467 5.4775
Na -4.3616 -6.7861 3.3114
```

Entry 8:
Density functional theory data (PBE-GGA) for a relaxed structure of CsNaAsS2.

Summary:
* formation energy without anion corrections: -2.481 eV/f.u.
* density of states at the Fermi level: 1.93 states/eV/f.u.
* ρ: 3.3 g/cm3

Structure (extended XYZ):
```
10
Lattice="6.7223 0.0000 0.0000 0.0000 5.6605 0.0000 0.0000 -2.8303 7.7897" Properties=species:S:1:pos:R:3 pbc="T T T"
S 1.7211 0.0000 6.0742
Cs 1.6655 2.8303 3.8948
S 5.0012 2.8303 6.0742
S 5.0012 2.8303 1.7155
Na 3.3612 1.4151 0.0000
Na 3.3612 4.2454 0.0000
S 1.7211 0.0000 1.7155
Cs 5.0568 0.0000 3.8948
As 0.0000 2.8303 0.0000
As 0.0000 0.0000 0.0000
```

Entry 9:
Density functional theory data (PBE-GGA) for a relaxed structure of Cs2NaAsS4.

Summary:
* formation energy without anion corrections: -6.477 eV/f.u.
* density of states at the Fermi level: 0.00 states/eV/f.u.
* ρ: 2.8 g/cm3

Structure (extended XYZ):
```
16
Lattice="-4.5391 3.7030 2.7294 -3.6817 -3.2580 5.9483 6.4209 6.6161 9.3532" Properties=species:S:1:pos:R:3 pbc="T T T"
S 0.4946 4.7422 8.7944
Cs -1.4036 5.4220 5.6116
Cs -5.1702 2.7373 6.8156
Cs 1.1008 6.1753 12.5800
As 0.2349 2.6048 8.3331
S 3.8916 6.3302 10.2566
S -2.8343 5.1188 12.1912
S -1.0002 6.3986 15.5375
Na 0.0000 0.0000 0.0000
S 0.5026 2.3762 6.1595
As -2.2695 1.8515 1.3647
S -3.9537 -0.6868 6.7294
S -2.5373 2.0801 3.5383
Cs 3.2855 4.8971 6.4710
S -1.7626 1.8851 8.9167
Na -2.0347 4.4563 9.6978
```

Entry 10:
Density functional theory data (PBE-GGA) for a relaxed structure of CsNaAsSe3.

Summary:
* formation energy without anion corrections: -4.032 eV/f.u.
* ρ: 3.4 g/cm3

Structure (extended XYZ):
```
12
Lattice="-2.9209 -4.3639 -5.7695 -0.6181 -7.6913 1.1505 -7.6126 1.7681 3.3834" Properties=species:S:1:pos:R:3 pbc="T T T"
Na -4.8948 -6.1275 1.4287
Cs -8.9848 -6.4306 -0.1022
Se -6.0401 -0.3134 1.8593
Se -4.3919 -6.0826 -3.8317
As -9.9294 -10.3334 -1.6645
Se -5.1115 -9.9737 -3.0948
Se -6.7597 -4.2044 2.5961
Se -3.2173 -7.7799 -0.3019
Se -7.9343 -2.5072 -0.9336
Cs -2.1668 -3.8565 -1.1333
Na -6.2568 -4.1595 -2.6642
As -1.2222 0.0463 0.4290
```

Entry 11:
Density functional theory data (PBE-GGA) for a relaxed structure of Cs2NaAs2Se6.

Summary:
* formation energy without anion corrections: -5.762 eV/f.u.
* density of states at the Fermi level: 4.76 states/eV/f.u.
* ρ: 3.5 g/cm3

Structure (extended XYZ):
```
11
Lattice="6.8348 0.0000 0.0000 -3.4174 7.7129 0.5756 0.0000 -3.8456 7.8569" Properties=species:S:1:pos:R:3 pbc="T T T"
Se 1.9072 -2.0496 6.4786
Se 0.0000 1.4114 2.6388
As 3.4174 4.2694 7.1902
Se -1.5102 5.9168 1.9539
Se 1.5102 5.9168 1.9539
Se 4.9276 -2.0496 6.4786
Na 3.4174 -1.9228 3.9285
As 0.0000 -0.4021 1.2424
Se 3.4174 2.4559 5.7937
Cs 3.4174 2.5973 1.9477
Cs 0.0000 1.2699 6.4849
```

Entry 12:
Density functional theory data (PBE-GGA) for a relaxed structure of CsNaAsSe2.

Summary:
* formation energy without anion corrections: 3.564 eV/f.u.
* density of states at the Fermi level: 5.13 states/eV/f.u.
* ρ: 2.7 g/cm3
* energy above the most stable polymorph in this dataset: 1210 meV per atom

Structure (extended XYZ):
```
5
Lattice="6.2399 0.0000 0.0000 0.0000 6.2399 0.0000 0.0000 0.0000 6.1204" Properties=species:S:1:pos:R:3 pbc="T T T"
Se 0.0000 3.1200 0.0000
Se 3.1200 0.0000 0.0000
As 0.0000 0.0000 3.0602
Na 3.1200 3.1200 3.0602
Cs 0.0000 0.0000 0.0000
```